Tl2CoCl4 after structural relaxation. Source: Alexandria, functional PBE.

Properties
Total moment = 1.0 Bohr magnetons per cell
Space group = Fmmm (69)
E_form (uncorrected) = -0.748 eV per atom

Unit cell a=7.217 b=6.695 c=6.625 alpha=65.61 beta=57.66 gamma=56.73
Element x y z (fractional)
1 Tl 0.250 0.250 0.250
2 Tl 0.750 0.750 0.750
3 Co 0.000 0.000 0.000
4 Cl 0.216 0.216 0.784
5 Cl 0.218 0.782 0.218
6 Cl 0.782 0.218 0.782
7 Cl 0.784 0.784 0.216

LaTa2Pb after structural relaxation. Source: Alexandria, functional PBE.

Properties
Total moment = 0.0 Bohr magnetons per cell
Space group = P4/mmm (123)
ΔE_f = 0.701 eV per atom

Unit cell a=3.067 b=3.067 c=9.984 alpha=90.00 beta=90.00 gamma=90.00
Element x y z (fractional)
1 La 0.000 0.000 0.000
2 Ta 0.500 0.500 0.266
3 Ta 0.500 0.500 0.734
4 Pb 0.000 0.000 0.500

CaSiPt after structural relaxation. Source: Alexandria, functional PBE.

Properties
Total moment = 0.0 Bohr magnetons per cell
Space group = Imm2 (44)
E_form (uncorrected) = -0.945 eV per atom

Unit cell a=5.611 b=5.611 c=5.611 alpha=135.37 beta=97.97 gamma=98.60
Element x y z (fractional)
1 Ca 0.000 0.000 0.000
2 Ca 0.606 0.106 0.500
3 Si 0.038 0.718 0.320
4 Si 0.398 0.718 0.680
5 Pt 0.184 0.392 0.792
6 Pt 0.600 0.392 0.208

RbHgTeSe3 after structural relaxation. Source: Alexandria, functional PBE.

Properties
Total moment = 0.0 Bohr magnetons per cell
Space group = P2_1/m (11)
E_form (uncorrected) = -0.360 eV per atom

Unit cell a=9.713 b=4.146 c=10.631 alpha=90.00 beta=98.18 gamma=90.00
Element x y z (fractional)
1 Rb 0.158 0.250 0.211
2 Rb 0.842 0.750 0.789
3 Hg 0.104 0.250 0.606
4 Hg 0.896 0.750 0.394
5 Te 0.366 0.750 0.853
6 Te 0.634 0.250 0.147
7 Se 0.161 0.250 0.864
8 Se 0.188 0.750 0.475
9 Se 0.447 0.750 0.152
10 Se 0.553 0.250 0.848
11 Se 0.812 0.250 0.525
12 Se 0.839 0.750 0.136

RbTaNb3 after structural relaxation. Source: Alexandria, functional PBE.

Properties
Total moment = 0.0 Bohr magnetons per cell
Space group = Pm-3m (221)
ΔE_f = 1.652 eV per atom
E above lowest polymorph = 0 meV per atom

Unit cell a=5.111 b=5.111 c=5.111 alpha=90.00 beta=90.00 gamma=90.00
Element x y z (fractional)
1 Rb 0.000 0.000 0.000
2 Ta 0.500 0.500 0.500
3 Nb 0.000 0.500 0.500
4 Nb 0.500 0.000 0.500
5 Nb 0.500 0.500 0.000

LaTc3H after structural relaxation. Source: Alexandria, functional PBE.

Properties
Total moment = 4.3 Bohr magnetons per cell
Space group = Pm-3m (221)
Final energy = -5.08 eV/atom

Unit cell a=4.789 b=4.789 c=4.789 alpha=90.00 beta=90.00 gamma=90.00
Element x y z (fractional)
1 La 0.000 0.000 0.000
2 Tc 0.000 0.000 0.500
3 Tc 0.000 0.500 0.000
4 Tc 0.500 0.000 0.000
5 H 0.500 0.500 0.500

Tb2SmTlC after structural relaxation. Source: Alexandria, functional PBE.

Properties
Total moment = 0.0 Bohr magnetons per cell
Space group = P4/mmm (123)
ΔE_f = -0.399 eV per atom

Unit cell a=4.958 b=4.958 c=5.054 alpha=90.00 beta=90.00 gamma=90.00
Element x y z (fractional)
1 Tb 0.000 0.500 0.000
2 Tb 0.500 0.000 0.000
3 Sm 0.000 0.000 0.500
4 Tl 0.500 0.500 0.500
5 C 0.000 0.000 0.000

ThMg2Pd2 after structural relaxation. Source: Alexandria, functional PBE.

Properties
Total moment = 0.0 Bohr magnetons per cell
Space group = C2/m (12)
ΔE_f = -0.538 eV per atom
E above lowest polymorph = 54 meV per atom

Unit cell a=4.906 b=4.906 c=5.444 alpha=90.35 beta=90.35 gamma=60.50
Element x y z (fractional)
1 Th 0.000 0.000 0.000
2 Mg 0.333 0.333 0.627
3 Mg 0.667 0.667 0.373
4 Pd 0.336 0.336 0.138
5 Pd 0.664 0.664 0.862